# PBE MnV2CuAu, relaxed
data_MnV2CuAu
_chemical_formula_sum 'Mn1 V2 Cu1 Au1'
_symmetry_space_group_name_H-M 'P 1'
_symmetry_Int_Tables_number 1
_symmetry_space_group_name_Hall 'P 1'
_cell_length_a 4.531
_cell_length_b 4.455
_cell_length_c 4.531
_cell_angle_alpha 90.00
_cell_angle_beta 90.00
_cell_angle_gamma 90.00
loop_
_atom_site_label
_atom_site_fract_x
_atom_site_fract_y
_atom_site_fract_z
_atom_site_occupancy
Cu1 0.000 0.000 0.000 1
V1 0.000 0.000 0.500 1
V2 0.500 0.000 0.000 1
Au1 0.500 0.500 0.500 1
Mn1 0.000 0.500 0.000 1
# DOS at the Fermi energy: 10.2 states/eV/cell
# M_tot: 1.52 μB per formula unit
# Formation energy from the elements: 0.969 eV per atom
# Crystal system: tetragonal
# Space group: P4/mmm (123)